A plane-wave DFT calculation with GGA-PBEsol was carried out for a relaxed LiMgPb2 crystal.

Results
ΔH_f (0 K) (eV per atom): -0.16
Crystal system: monoclinic
Space group: No. 8
E (eV per atom): -3.08

Lattice parameters (Å, degrees): 3.377 5.244 5.776 97.62 107.00 90.00
Positions (direct):
Pb  0.998  0.968  0.995
Pb  0.754  0.286  0.508
Li  0.498  0.470  0.996
Mg  0.251  0.776  0.501